Record 1
Below is a relaxed structure of LiPd2F, with properties calculated at the PBE level.

a b c (Å): 8.3224 8.3224 8.3224
angles (deg): 19.18 19.18 19.18
Last column: nearest neighbours and their distance in Å.
Fractional positions:
F  0.0000  0.0000  0.0000  2 Pd 2.06
Li  0.5000  0.5000  0.5000  6 Pd 2.58, 6 Li 2.77
Pd  0.0842  0.0842  0.0842  1 F 2.06
Pd  0.9158  0.9158  0.9158  1 F 2.06

Computed properties:
Energy, eV/atom: -3.931
Space-group type: No. 166
Crystal system: trigonal

Record 2
Below is a relaxed structure of Li2PdF, with properties calculated at the PBE level.

a b c (Å): 4.1585 4.1585 4.1585
angles (deg): 60.00 60.00 60.00
Last column: nearest neighbours and their distance in Å.
Fractional positions:
F  0.0000  0.0000  0.0000  8 Li 2.55
Li  0.2500  0.2500  0.2500  4 F 2.55, 4 Pd 2.55
Li  0.7500  0.7500  0.7500  4 Pd 2.55, 4 F 2.55
Pd  0.5000  0.5000  0.5000  8 Li 2.55

Computed properties:
Energy, eV/atom: -3.482
Space-group type: No. 225
Crystal system: cubic

Record 3
Below is a relaxed structure of Li2PdF4, with properties calculated at the PBE level.

a b c (Å): 2.9624 5.1800 9.0750
angles (deg): 90.00 92.71 90.00
Last column: nearest neighbours and their distance in Å.
Fractional positions:
F  0.2422  0.8343  0.0726  3 Li 1.92-2.13, 1 Pd 1.98
F  0.2230  0.3056  0.1804  3 Li 1.95-2.09, 1 Pd 2.01
F  0.7770  0.8056  0.3196  3 Li 1.95-2.09, 1 Pd 2.01
F  0.7578  0.3343  0.4274  3 Li 1.92-2.13, 1 Pd 1.98
F  0.2422  0.6657  0.5726  3 Li 1.92-2.13, 1 Pd 1.98
F  0.2230  0.1944  0.6804  3 Li 1.95-2.09, 1 Pd 2.01
F  0.7770  0.6944  0.8196  3 Li 1.95-2.09, 1 Pd 2.01
F  0.7578  0.1657  0.9274  3 Li 1.92-2.13, 1 Pd 1.98
Li  0.7392  0.0372  0.1502  6 F 1.92-2.13
Li  0.2608  0.5372  0.3498  6 F 1.92-2.13
Li  0.7392  0.4628  0.6502  6 F 1.92-2.13
Li  0.2608  0.9628  0.8498  6 F 1.92-2.13
Pd  0.0000  0.5000  0.0000  4 F 1.98-2.01
Pd  0.0000  0.0000  0.5000  4 F 1.98-2.01

Computed properties:
Energy, eV/atom: -4.494
Space-group type: No. 14
Crystal system: monoclinic

Record 4
Below is a relaxed structure of LiPdF2, with properties calculated at the PBE level.

a b c (Å): 3.9483 3.9483 3.9483
angles (deg): 60.00 60.00 60.00
Last column: nearest neighbours and their distance in Å.
Fractional positions:
F  0.2500  0.2500  0.2500  4 Pd 2.42, 4 Li 2.42
F  0.7500  0.7500  0.7500  4 Pd 2.42, 4 Li 2.42
Li  0.0000  0.0000  0.0000  8 F 2.42
Pd  0.5000  0.5000  0.5000  8 F 2.42

Computed properties:
Energy, eV/atom: -3.974
Space-group type: No. 225
Crystal system: cubic